Record 1
The following is a DFT calculation (PBE-GGA) of an optimized crystal structure of LiCaRu2.

Values from the calculation:
- Excess energy over the best structure of this formula in the dataset: 0.0 meV/atom
- E_form: 240 meV/atom
- Mass density: 5.8 g/cm³

CIF file:
```
data_LiCaRu2
_space_group_name_H-M_alt 'P 1'
_space_group_IT_number 1
_cell_length_a 2.917
_cell_length_b 3.714
_cell_length_c 6.619
_cell_angle_alpha 90.00
_cell_angle_beta 90.00
_cell_angle_gamma 90.00
loop_
_space_group_symop_operation_xyz
'x,y,z'
loop_
_atom_site_label
_atom_site_type_symbol
_atom_site_fract_x
_atom_site_fract_y
_atom_site_fract_z
Ca1 Ca 0.000 0.000 0.484
Li1 Li 0.500 0.500 0.805
Ru1 Ru 0.000 0.000 0.026
Ru2 Ru 0.500 0.500 0.185
```


Record 2
The following is a DFT calculation (PBE-GGA) of an optimized crystal structure of KCuP.

Values from the calculation:
- E_form: -206 meV/atom
- Mass density: 2.9 g/cm³

CIF file:
```
data_KCuP
_space_group_name_H-M_alt 'P 1'
_space_group_IT_number 1
_cell_length_a 4.216
_cell_length_b 6.483
_cell_length_c 6.483
_cell_angle_alpha 69.31
_cell_angle_beta 71.02
_cell_angle_gamma 71.02
loop_
_space_group_symop_operation_xyz
'x,y,z'
loop_
_atom_site_label
_atom_site_type_symbol
_atom_site_fract_x
_atom_site_fract_y
_atom_site_fract_z
K1 K 0.927 0.573 0.573
K2 K 0.010 0.990 0.990
Cu1 Cu 0.245 0.074 0.435
Cu2 Cu 0.245 0.435 0.074
P1 P 0.683 0.478 0.157
P2 P 0.683 0.157 0.478
```


Record 3
The following is a DFT calculation (PBE-GGA) of an optimized crystal structure of NpCu2SbO8.

Values from the calculation:
- Uncorrected formation energy: -1300 meV/atom
- Mass density: 7.0 g/cm³

CIF file:
```
data_NpCu2SbO8
_space_group_name_H-M_alt 'P 1'
_space_group_IT_number 1
_cell_length_a 5.760
_cell_length_b 5.760
_cell_length_c 5.760
_cell_angle_alpha 111.90
_cell_angle_beta 111.90
_cell_angle_gamma 104.72
loop_
_space_group_symop_operation_xyz
'x,y,z'
loop_
_atom_site_label
_atom_site_type_symbol
_atom_site_fract_x
_atom_site_fract_y
_atom_site_fract_z
Np1 Np 0.250 0.750 0.500
Cu1 Cu 0.750 0.250 0.500
Cu2 Cu 0.500 0.500 0.000
Sb1 Sb 0.000 0.000 0.000
O1 O 0.354 0.046 0.308
O2 O 0.287 0.479 0.192
O3 O 0.287 0.095 0.808
O4 O 0.737 0.046 0.692
O5 O 0.905 0.713 0.192
O6 O 0.954 0.263 0.308
O7 O 0.954 0.646 0.692
O8 O 0.521 0.713 0.808
```


Record 4
The following is a DFT calculation (PBE-GGA) of an optimized crystal structure of TlCdS2.

Values from the calculation:
- Excess energy over the best structure of this formula in the dataset: 93.5 meV/atom
- Uncorrected formation energy: -242 meV/atom
- Mass density: 6.9 g/cm³

CIF file:
```
data_TlCdS2
_space_group_name_H-M_alt 'P 1'
_space_group_IT_number 1
_cell_length_a 3.882
_cell_length_b 3.882
_cell_length_c 7.062
_cell_angle_alpha 90.00
_cell_angle_beta 90.00
_cell_angle_gamma 120.00
loop_
_space_group_symop_operation_xyz
'x,y,z'
loop_
_atom_site_label
_atom_site_type_symbol
_atom_site_fract_x
_atom_site_fract_y
_atom_site_fract_z
Tl1 Tl 0.000 0.000 0.500
Cd1 Cd 0.333 0.667 0.000
S1 S 0.667 0.333 0.228
S2 S 0.667 0.333 0.772
```


Record 5
The following is a DFT calculation (PBE-GGA) of an optimized crystal structure of Rb3TlPt2.

Values from the calculation:
- E_form: -13 meV/atom
- Mass density: 6.1 g/cm³

CIF file:
```
data_Rb3TlPt2
_space_group_name_H-M_alt 'P 1'
_space_group_IT_number 1
_cell_length_a 9.284
_cell_length_b 11.776
_cell_length_c 9.299
_cell_angle_alpha 90.00
_cell_angle_beta 114.50
_cell_angle_gamma 90.00
loop_
_space_group_symop_operation_xyz
'x,y,z'
loop_
_atom_site_label
_atom_site_type_symbol
_atom_site_fract_x
_atom_site_fract_y
_atom_site_fract_z
Rb1 Rb 0.335 0.989 0.091
Rb2 Rb 0.165 0.489 0.409
Rb3 Rb 0.665 0.011 0.909
Rb4 Rb 0.835 0.511 0.591
Rb5 Rb 0.408 0.511 0.165
Rb6 Rb 0.092 0.011 0.335
Rb7 Rb 0.592 0.489 0.835
Rb8 Rb 0.908 0.989 0.665
Rb9 Rb 0.838 0.717 0.161
Rb10 Rb 0.662 0.217 0.339
Rb11 Rb 0.162 0.283 0.839
Rb12 Rb 0.338 0.783 0.661
Tl1 Tl 0.577 0.788 0.422
Tl2 Tl 0.923 0.288 0.078
Tl3 Tl 0.423 0.212 0.578
Tl4 Tl 0.077 0.712 0.922
Pt1 Pt 0.712 0.940 0.288
Pt2 Pt 0.788 0.440 0.212
Pt3 Pt 0.288 0.060 0.712
Pt4 Pt 0.212 0.560 0.788
Pt5 Pt 0.254 0.750 0.244
Pt6 Pt 0.246 0.250 0.256
Pt7 Pt 0.746 0.250 0.756
Pt8 Pt 0.754 0.750 0.744
```


Record 6
The following is a DFT calculation (PBE-GGA) of an optimized crystal structure of VAsRu3.

Values from the calculation:
- Excess energy over the best structure of this formula in the dataset: 0.0 meV/atom
- E_form: 945 meV/atom
- Mass density: 7.9 g/cm³

CIF file:
```
data_VAsRu3
_space_group_name_H-M_alt 'P 1'
_space_group_IT_number 1
_cell_length_a 4.479
_cell_length_b 4.479
_cell_length_c 4.479
_cell_angle_alpha 90.00
_cell_angle_beta 90.00
_cell_angle_gamma 90.00
loop_
_space_group_symop_operation_xyz
'x,y,z'
loop_
_atom_site_label
_atom_site_type_symbol
_atom_site_fract_x
_atom_site_fract_y
_atom_site_fract_z
Ru1 Ru 0.000 0.500 0.000
Ru2 Ru 0.000 0.000 0.500
Ru3 Ru 0.500 0.000 0.000
As1 As 0.000 0.000 0.000
V1 V 0.500 0.500 0.500
```


Record 7
The following is a DFT calculation (PBE-GGA) of an optimized crystal structure of Er4Th2Sc.

Values from the calculation:
- Excess energy over the best structure of this formula in the dataset: 1327.0 meV/atom
- E_form: 2036 meV/atom
- Mass density: 4.6 g/cm³

CIF file:
```
data_Er4Th2Sc
_space_group_name_H-M_alt 'P 1'
_space_group_IT_number 1
_cell_length_a 11.616
_cell_length_b 8.389
_cell_length_c 8.385
_cell_angle_alpha 61.33
_cell_angle_beta 46.15
_cell_angle_gamma 46.16
loop_
_space_group_symop_operation_xyz
'x,y,z'
loop_
_atom_site_label
_atom_site_type_symbol
_atom_site_fract_x
_atom_site_fract_y
_atom_site_fract_z
Er1 Er 0.500 0.675 0.326
Er2 Er 0.175 0.326 0.325
Er3 Er 0.825 0.674 0.675
Er4 Er 0.500 0.325 0.674
Th1 Th 0.250 0.500 0.500
Th2 Th 0.750 0.500 0.500
Sc1 Sc 0.500 0.000 0.000
```


Record 8
The following is a DFT calculation (PBE-GGA) of an optimized crystal structure of CdIn2HgI4.

Values from the calculation:
- Uncorrected formation energy: -427 meV/atom
- Mass density: 5.8 g/cm³

CIF file:
```
data_CdIn2HgI4
_space_group_name_H-M_alt 'P 1'
_space_group_IT_number 1
_cell_length_a 4.570
_cell_length_b 7.619
_cell_length_c 9.741
_cell_angle_alpha 69.88
_cell_angle_beta 76.43
_cell_angle_gamma 72.55
loop_
_space_group_symop_operation_xyz
'x,y,z'
loop_
_atom_site_label
_atom_site_type_symbol
_atom_site_fract_x
_atom_site_fract_y
_atom_site_fract_z
Cd1 Cd 0.000 0.000 0.000
In1 In 0.813 0.667 0.706
In2 In 0.187 0.333 0.294
Hg1 Hg 0.500 0.500 0.500
I1 I 0.154 0.006 0.686
I2 I 0.381 0.299 0.940
I3 I 0.846 0.994 0.314
I4 I 0.619 0.701 0.060
```


Q: What is the mass density in the sixth record?
A: 7.9 g/cm³